Computed, not measured: a geometry-optimized Tl4Sb2Pb5 structure at the PBE level of DFT.

Lattice parameters (Å, degrees): 8.7597 3.3799 11.6069 90.00 95.94 90.00
Element x y z (fractional)
Tl 0.1532 0.0000 0.4016
Tl 0.3049 0.0000 0.9430
Tl 0.6951 0.0000 0.0570
Tl 0.8468 0.0000 0.5984
Sb 0.0481 0.5000 0.1306
Sb 0.9519 0.5000 0.8694
Pb 0.1983 0.5000 0.6749
Pb 0.4106 0.5000 0.2116
Pb 0.5000 0.5000 0.5000
Pb 0.5894 0.5000 0.7884
Pb 0.8017 0.5000 0.3251

Energy   -3.27 eV per atom
E_form (uncorrected)   28 meV per atom
E above lowest polymorph   0.0 meV per atom